[1]
MgMoPt | GGA-PBE | relaxed

Unit cell a=10.368 b=3.079 c=6.685 alpha=90.00 beta=107.99 gamma=90.00
Space group Cm (No. 8)
Asymmetric unit:
Mg 0.000 0.000 0.000 (multiplicity 2)
Mg 0.147 0.500 0.746 (multiplicity 2)
Mo 0.301 0.000 0.140 (multiplicity 2)
Mo 0.431 0.500 0.407 (multiplicity 2)
Pt 0.140 0.500 0.330 (multiplicity 2)
Pt 0.350 0.000 0.691 (multiplicity 2)

For the energy of formation, the calculation gives -0.17 eV per atom.

=====

[2]
RbNbTl2O4 | GGA-PBE | relaxed

Unit cell a=8.333 b=8.166 c=6.045 alpha=90.00 beta=90.00 gamma=90.00
Space group Pmn2_1 (No. 31)
Asymmetric unit:
Rb 0.000 0.143 0.000 (multiplicity 2)
Nb 0.000 0.874 0.509 (multiplicity 2)
Tl 0.248 0.684 0.002 (multiplicity 4)
O 0.000 0.106 0.486 (multiplicity 2)
O 0.000 0.819 0.815 (multiplicity 2)
O 0.183 0.793 0.368 (multiplicity 4)

=====

[3]
SrEuLu | GGA-PBE | relaxed

Unit cell a=3.829 b=3.829 c=16.492 alpha=90.00 beta=90.00 gamma=90.00
Space group I4mm (No. 107)
Asymmetric unit:
Sr 0.000 0.000 0.000 (multiplicity 2)
Eu 0.000 0.000 0.312 (multiplicity 2)
Lu 0.000 0.000 0.667 (multiplicity 2)

For the energy of formation, the calculation gives 0.16 eV per atom.

=====

no.,total energy (eV per atom),ρ (g/cm³)
1,-6.33,10.32
2,-6.20,5.26
3,-5.33,5.70